A relaxed Pm5Cd crystal. Source: Alexandria via LeMat-Bulk, functional PBE.

Structure (CIF):
```
data_Pm5Cd
_chemical_formula_sum 'Pm10 Cd2'
_symmetry_space_group_name_H-M 'C m m m'
_symmetry_Int_Tables_number 65
_symmetry_space_group_name_Hall '-C 2 2'
_cell_length_a 4.9661
_cell_length_b 15.4357
_cell_length_c 5.0041
_cell_angle_alpha 90.00
_cell_angle_beta 90.00
_cell_angle_gamma 90.00
loop_
_atom_site_label
_atom_site_type_symbol
_atom_site_fract_x
_atom_site_fract_y
_atom_site_fract_z
Pm1 Pm 0.0000 0.0000 0.0000
Pm2 Pm 0.0000 0.1631 0.5000
Pm3 Pm 0.0000 0.3328 0.0000
Cd1 Cd 0.0000 0.5000 0.5000
```

Density (g/cm3): 7.25
Energy above the most stable polymorph in this dataset (meV/atom): 42
ΔH_f (0 K) (meV per atom): -54


A relaxed PmCd2 crystal. Source: Alexandria via LeMat-Bulk, functional PBE.

Structure (CIF):
```
data_PmCd2
_chemical_formula_sum 'Pm2 Cd4'
_symmetry_space_group_name_H-M 'I 4/m m m'
_symmetry_Int_Tables_number 139
_symmetry_space_group_name_Hall '-I 4 2'
_cell_length_a 3.4586
_cell_length_b 3.4586
_cell_length_c 12.8070
_cell_angle_alpha 90.00
_cell_angle_beta 90.00
_cell_angle_gamma 90.00
loop_
_atom_site_label
_atom_site_type_symbol
_atom_site_fract_x
_atom_site_fract_y
_atom_site_fract_z
Pm1 Pm 0.0000 0.0000 0.0000
Cd1 Cd 0.0000 0.0000 0.3231
```

Density (g/cm3): 8.02
Energy above the most stable polymorph in this dataset (meV/atom): 108
ΔH_f (0 K) (meV per atom): -237


A relaxed Pm3Cd4 crystal. Source: Alexandria via LeMat-Bulk, functional PBE.

Structure (CIF):
```
data_Pm3Cd4
_chemical_formula_sum 'Pm6 Cd8'
_symmetry_space_group_name_H-M 'I m m m'
_symmetry_Int_Tables_number 71
_symmetry_space_group_name_Hall '-I 2 2'
_cell_length_a 3.5153
_cell_length_b 5.0190
_cell_length_c 21.4486
_cell_angle_alpha 90.00
_cell_angle_beta 90.00
_cell_angle_gamma 90.00
loop_
_atom_site_label
_atom_site_type_symbol
_atom_site_fract_x
_atom_site_fract_y
_atom_site_fract_z
Pm1 Pm 0.0000 0.0000 0.0000
Pm2 Pm 0.0000 0.5000 0.1997
Cd1 Cd 0.0000 0.0000 0.4325
Cd2 Cd 0.0000 0.5000 0.3583
```

Density (g/cm3): 7.76
Energy above the most stable polymorph in this dataset (meV/atom): 0
ΔH_f (0 K) (meV per atom): -294


A relaxed PmPr14Cd crystal. Source: Alexandria via LeMat-Bulk, functional PBE.

Structure (CIF):
```
data_PmPr14Cd
_chemical_formula_sum 'Pm2 Pr28 Cd2'
_symmetry_space_group_name_H-M 'A m m 2'
_symmetry_Int_Tables_number 38
_cell_length_a 10.4228
_cell_length_b 10.3482
_cell_length_c 10.3501
_cell_angle_alpha 90.00
_cell_angle_beta 90.00
_cell_angle_gamma 90.00
loop_
_symmetry_equiv_pos_as_xyz
'x,y,z'
'-x,-y,z'
'-x,y,z'
'x,-y,z'
'x,y+1/2,z+1/2'
'-x,-y+1/2,z+1/2'
'-x,y+1/2,z+1/2'
'x,-y+1/2,z+1/2'
loop_
_atom_site_label
_atom_site_type_symbol
_atom_site_fract_x
_atom_site_fract_y
_atom_site_fract_z
Pm1 Pm 0.0000 0.0000 0.0000
Pr1 Pr 0.0000 0.2490 0.7496
Pr2 Pr 0.2446 0.0000 0.2527
Pr3 Pr 0.2452 0.2473 0.5000
Pr4 Pr 0.2458 0.0000 0.7473
Pr5 Pr 0.5000 0.0000 0.9999
Pr6 Pr 0.5000 0.0000 0.5000
Pr7 Pr 0.5000 0.2495 0.2501
Cd1 Cd 0.0000 0.0000 0.4995
```

Density (g/cm3): 6.63
ΔH_f (0 K) (meV per atom): -18


A relaxed Pm3Pr6Cd crystal. Source: Alexandria via LeMat-Bulk, functional PBE.

Structure (CIF):
```
data_Pm3Pr6Cd
_chemical_formula_sum 'Pm18 Pr36 Cd6'
_symmetry_space_group_name_H-M 'R -3'
_symmetry_Int_Tables_number 148
_symmetry_space_group_name_Hall '-R 3'
_cell_length_a 13.8013
_cell_length_b 13.8013
_cell_length_c 12.3834
_cell_angle_alpha 90.00
_cell_angle_beta 90.00
_cell_angle_gamma 120.00
loop_
_atom_site_label
_atom_site_type_symbol
_atom_site_fract_x
_atom_site_fract_y
_atom_site_fract_z
Pm1 Pm 0.0575 0.5280 0.1182
Pr1 Pr 0.0060 0.2590 0.0018
Pr2 Pr 0.0760 0.1772 0.7604
Cd1 Cd 0.0000 0.0000 0.0000
Cd2 Cd 0.0000 0.0000 0.5000
```

Density (g/cm3): 6.79
Energy above the most stable polymorph in this dataset (meV/atom): 49
ΔH_f (0 K) (meV per atom): 26


A relaxed Pm4Pr3Cd crystal. Source: Alexandria via LeMat-Bulk, functional PBE.

Structure (CIF):
```
data_Pm4Pr3Cd
_chemical_formula_sum 'Pm8 Pr6 Cd2'
_symmetry_space_group_name_H-M 'P m n 21'
_symmetry_Int_Tables_number 31
_cell_length_a 11.5998
_cell_length_b 7.2295
_cell_length_c 6.3407
_cell_angle_alpha 90.00
_cell_angle_beta 90.00
_cell_angle_gamma 90.00
loop_
_symmetry_equiv_pos_as_xyz
'x,y,z'
'-x+1/2,-y,z+1/2'
'-x,y,z'
'x+1/2,-y,z+1/2'
loop_
_atom_site_label
_atom_site_type_symbol
_atom_site_fract_x
_atom_site_fract_y
_atom_site_fract_z
Pm1 Pm 0.0000 0.1086 0.0000
Pm2 Pm 0.0000 0.8672 0.5351
Pm3 Pm 0.2360 0.8693 0.1853
Pr1 Pr 0.0000 0.3739 0.5442
Pr2 Pr 0.2342 0.3794 0.1877
Cd1 Cd 0.0000 0.6250 0.0161
```

Density (g/cm3): 6.96
Energy above the most stable polymorph in this dataset (meV/atom): 0
ΔH_f (0 K) (meV per atom): -42


A relaxed Pm2Pr6Cd crystal. Source: Alexandria via LeMat-Bulk, functional PBE.

Structure (CIF):
```
data_Pm2Pr6Cd
_chemical_formula_sum 'Pm4 Pr12 Cd2'
_symmetry_space_group_name_H-M 'P -1'
_symmetry_Int_Tables_number 2
_cell_length_a 6.3544
_cell_length_b 6.3551
_cell_length_c 15.2515
_cell_angle_alpha 93.21
_cell_angle_beta 93.15
_cell_angle_gamma 97.54
loop_
_symmetry_equiv_pos_as_xyz
'x,y,z'
'-x,-y,-z'
loop_
_atom_site_label
_atom_site_type_symbol
_atom_site_fract_x
_atom_site_fract_y
_atom_site_fract_z
Pm1 Pm 0.1138 0.1142 0.1739
Pm2 Pm 0.3859 0.3862 0.3263
Pr1 Pr 0.0719 0.7955 0.3377
Pr2 Pr 0.1219 0.7130 0.5819
Pr3 Pr 0.2130 0.6218 0.0820
Pr4 Pr 0.2862 0.1173 0.9642
Pr5 Pr 0.2957 0.5717 0.8378
Pr6 Pr 0.3825 0.2136 0.5357
Cd1 Cd 0.4224 0.0775 0.7500
```

Density (g/cm3): 6.81
ΔH_f (0 K) (meV per atom): 35


A relaxed Pm3PrCd crystal. Source: Alexandria via LeMat-Bulk, functional PBE.

Structure (CIF):
```
data_Pm3PrCd
_chemical_formula_sum 'Pm12 Pr4 Cd4'
_symmetry_space_group_name_H-M 'P n m a'
_symmetry_Int_Tables_number 62
_cell_length_a 11.0748
_cell_length_b 5.4208
_cell_length_c 10.9784
_cell_angle_alpha 90.00
_cell_angle_beta 90.00
_cell_angle_gamma 90.00
loop_
_symmetry_equiv_pos_as_xyz
'x,y,z'
'-x,-y,-z'
'-x+1/2,-y,z+1/2'
'x+1/2,y,-z+1/2'
'x+1/2,-y+1/2,-z+1/2'
'-x+1/2,y+1/2,z+1/2'
'-x,y+1/2,-z'
'x,-y+1/2,z'
loop_
_atom_site_label
_atom_site_type_symbol
_atom_site_fract_x
_atom_site_fract_y
_atom_site_fract_z
Pm1 Pm 0.0675 0.2500 0.1087
Pm2 Pm 0.0915 0.7500 0.3333
Pm3 Pm 0.1288 0.7500 0.6690
Pr1 Pr 0.2264 0.2500 0.4953
Cd1 Cd 0.1299 0.2500 0.8348
```

Density (g/cm3): 6.94
Energy above the most stable polymorph in this dataset (meV/atom): 90
ΔH_f (0 K) (meV per atom): -18


A relaxed Pm6Pr3Cd crystal. Source: Alexandria via LeMat-Bulk, functional PBE.

Structure (CIF):
```
data_Pm6Pr3Cd
_chemical_formula_sum 'Pm24 Pr12 Cd4'
_symmetry_space_group_name_H-M 'C m c 21'
_symmetry_Int_Tables_number 36
_cell_length_a 13.0675
_cell_length_b 16.0874
_cell_length_c 6.5263
_cell_angle_alpha 90.00
_cell_angle_beta 90.00
_cell_angle_gamma 90.00
loop_
_symmetry_equiv_pos_as_xyz
'x,y,z'
'-x,-y,z+1/2'
'-x,y,z'
'x,-y,z+1/2'
'x+1/2,y+1/2,z'
'-x+1/2,-y+1/2,z+1/2'
'-x+1/2,y+1/2,z'
'x+1/2,-y+1/2,z+1/2'
loop_
_atom_site_label
_atom_site_type_symbol
_atom_site_fract_x
_atom_site_fract_y
_atom_site_fract_z
Pm1 Pm 0.0000 0.0459 0.0000
Pm2 Pm 0.0000 0.2512 0.8218
Pm3 Pm 0.1225 0.4474 0.8262
Pm4 Pm 0.2129 0.1975 0.1354
Pr1 Pr 0.0000 0.3548 0.3264
Pr2 Pr 0.1966 0.0912 0.6721
Cd1 Cd 0.0000 0.1576 0.3928
```

Density (g/cm3): 6.80
Energy above the most stable polymorph in this dataset (meV/atom): 88
ΔH_f (0 K) (meV per atom): 66


A relaxed Pm7Pr12Cd crystal. Source: Alexandria via LeMat-Bulk, functional PBE.

Structure (CIF):
```
data_Pm7Pr12Cd
_chemical_formula_sum 'Pm14 Pr24 Cd2'
_symmetry_space_group_name_H-M 'I m -3'
_symmetry_Int_Tables_number 204
_symmetry_space_group_name_Hall '-I 2 2 3'
_cell_length_a 11.7071
_cell_length_b 11.7071
_cell_length_c 11.7071
_cell_angle_alpha 90.00
_cell_angle_beta 90.00
_cell_angle_gamma 90.00
loop_
_atom_site_label
_atom_site_type_symbol
_atom_site_fract_x
_atom_site_fract_y
_atom_site_fract_z
Pm1 Pm 0.0000 0.0000 0.5000
Pm2 Pm 0.2500 0.2500 0.2500
Pr1 Pr 0.0000 0.2444 0.2434
Cd1 Cd 0.0000 0.0000 0.0000
```

Density (g/cm3): 5.83
Energy above the most stable polymorph in this dataset (meV/atom): 447
ΔH_f (0 K) (meV per atom): 601


A relaxed PmPrCd14 crystal. Source: Alexandria via LeMat-Bulk, functional PBE.

Structure (CIF):
```
data_PmPrCd14
_chemical_formula_sum 'Pm1 Pr1 Cd14'
_symmetry_space_group_name_H-M 'P 4/m m m'
_symmetry_Int_Tables_number 123
_symmetry_space_group_name_Hall '-P 4 2'
_cell_length_a 6.7182
_cell_length_b 6.7182
_cell_length_c 8.4554
_cell_angle_alpha 90.00
_cell_angle_beta 90.00
_cell_angle_gamma 90.00
loop_
_atom_site_label
_atom_site_type_symbol
_atom_site_fract_x
_atom_site_fract_y
_atom_site_fract_z
Pm1 Pm 0.0000 0.0000 0.0000
Pr1 Pr 0.5000 0.5000 0.0000
Cd1 Cd 0.0000 0.0000 0.5000
Cd2 Cd 0.0000 0.5000 0.0000
Cd3 Cd 0.0000 0.5000 0.5000
Cd4 Cd 0.2487 0.2487 0.2629
Cd5 Cd 0.5000 0.5000 0.5000
```

Density (g/cm3): 8.09
ΔH_f (0 K) (meV per atom): -153


A relaxed Pm2PrCd5 crystal. Source: Alexandria via LeMat-Bulk, functional PBE.

Structure (CIF):
```
data_Pm2PrCd5
_chemical_formula_sum 'Pm4 Pr2 Cd10'
_symmetry_space_group_name_H-M 'I 4/m m m'
_symmetry_Int_Tables_number 139
_symmetry_space_group_name_Hall '-I 4 2'
_cell_length_a 5.2465
_cell_length_b 5.2465
_cell_length_c 15.4249
_cell_angle_alpha 90.00
_cell_angle_beta 90.00
_cell_angle_gamma 90.00
loop_
_atom_site_label
_atom_site_type_symbol
_atom_site_fract_x
_atom_site_fract_y
_atom_site_fract_z
Pm1 Pm 0.0000 0.0000 0.2350
Pr1 Pr 0.0000 0.0000 0.5000
Cd1 Cd 0.0000 0.0000 0.0000
Cd2 Cd 0.0000 0.5000 0.1195
```

Density (g/cm3): 7.77
ΔH_f (0 K) (meV per atom): -320